# 1
MoP2RuCl: relaxed, PBE.

a b c (Å): 4.6685 4.6685 4.7836
angles (deg): 90.00 90.00 90.00
With the nearest neighbours (Å) after each atom.
Space group P4/mmm (No. 123)
Unique sites:
Mo (0.0000, 0.0000, 0.0000) [1 per cell]  4 P 2.33, 2 Cl 2.39
P (0.0000, 0.5000, 0.0000) [2 per cell]  2 Mo 2.33
Ru (0.5000, 0.5000, 0.5000) [1 per cell]  4 Cl 3.30, 8 P 3.34
Cl (0.0000, 0.0000, 0.5000) [1 per cell]  2 Mo 2.39

Computed properties:
Formation energy without anion corrections: 0.99 eV per atom
Offset from the most stable computed form: 0.0632 eV per atom


# 2
LiCaAcGa: relaxed, PBE.

a b c (Å): 7.7389 7.7389 7.7389
angles (deg): 90.00 90.00 90.00
With the nearest neighbours (Å) after each atom.
Space group F-43m (No. 216)
Unique sites:
Li (0.0000, 0.0000, 0.0000) [4 per cell]  4 Ac 3.35, 4 Ca 3.35
Ca (0.2500, 0.2500, 0.2500) [4 per cell]  4 Li 3.35, 4 Ga 3.35
Ac (0.2500, 0.2500, 0.7500) [4 per cell]  4 Li 3.35, 4 Ga 3.35
Ga (0.0000, 0.0000, 0.5000) [4 per cell]  4 Ac 3.35, 4 Ca 3.35

Computed properties:
E_form: -0.25 eV per atom


# 3
Si2AgW: relaxed, PBE.

a b c (Å): 3.4588 4.4384 8.3565
angles (deg): 90.00 90.00 90.00
With the nearest neighbours (Å) after each atom.
Space group Cmmm (No. 65)
Unique sites:
Si (0.0000, 0.0000, 0.2259) [4 per cell]  2 W 2.56, 4 Si 2.81
Ag (0.0000, 0.5000, 0.5000) [2 per cell]  4 Ag 2.81, 4 Si 2.87
W (0.0000, 0.5000, 0.0000) [2 per cell]  4 Si 2.56, 4 W 2.81

Computed properties:
Formation energy without anion corrections: 0.31 eV per atom
Offset from the most stable computed form: 0.1007 eV per atom


# 4
NbRhSN2: relaxed, PBE.

a b c (Å): 3.8531 3.8531 4.6956
angles (deg): 90.00 90.00 90.00
With the nearest neighbours (Å) after each atom.
Space group P4/mmm (No. 123)
Unique sites:
Nb (0.0000, 0.0000, 0.0000) [1 per cell]  4 S 2.72, 8 N 3.04
Rh (0.5000, 0.5000, 0.5000) [1 per cell]  4 N 1.93
S (0.5000, 0.5000, 0.0000) [1 per cell]  2 Rh 2.35
N (0.0000, 0.5000, 0.5000) [2 per cell]  2 Rh 1.93

Computed properties:
Formation energy without anion corrections: 1.02 eV per atom
Offset from the most stable computed form: 0.3348 eV per atom


# 5
GaTc3I: relaxed, PBE.

a b c (Å): 4.6500 4.6500 4.6500
angles (deg): 90.00 90.00 90.00
With the nearest neighbours (Å) after each atom.
Space group Pm-3m (No. 221)
Unique sites:
Ga (0.0000, 0.0000, 0.0000) [1 per cell]  6 Tc 2.33
Tc (0.0000, 0.0000, 0.5000) [3 per cell]  2 Ga 2.33
I (0.5000, 0.5000, 0.5000) [1 per cell]  12 Tc 3.29

Computed properties:
Formation energy without anion corrections: 1.67 eV per atom
Offset from the most stable computed form: 0.0000 eV per atom


# 6
TaReCl2: relaxed, PBE.

a b c (Å): 2.9813 2.9813 25.4123
angles (deg): 90.00 90.00 120.00
With the nearest neighbours (Å) after each atom.
Space group R-3m (No. 166, hexagonal axes)
Unique sites:
Ta (0.0000, 0.0000, 0.0000) [3 per cell]  6 Cl 2.55
Re (0.0000, 0.0000, 0.5000) [3 per cell]  2 Cl 2.35
Cl (0.0000, 0.0000, 0.4074) [6 per cell]  1 Re 2.35, 3 Ta 2.55

Computed properties:
Formation energy without anion corrections: 0.34 eV per atom
Offset from the most stable computed form: 0.8392 eV per atom